1.
Here is a relaxed structure of Al2IrAu from Alexandria. Energies are from PBE-GGA.

Results
formation enthalpy at 0 K = -2.38 eV per formula unit

Lattice parameters (Å, degrees): 2.975 2.989 6.809 90.00 90.00 90.00
Space group Pmmm (No. 47)
Inequivalent atoms, fractional coordinates:
Al (0.000, 0.000, 0.229) x2
Ir (0.500, 0.500, 0.000) x1
Au (0.500, 0.500, 0.500) x1

***

2.
Here is a relaxed structure of ReHg2F5 from Alexandria. Energies are from PBE-GGA.

Lattice parameters (Å, degrees): 5.519 5.739 6.862 82.70 66.35 71.58
Space group P1 (No. 1)
Inequivalent atoms, fractional coordinates:
Re (0.000, 0.000, 0.000) x1
Hg (0.324, 0.509, 0.494) x1
Hg (0.818, 0.508, 0.506) x1
F (0.075, 0.650, 0.000) x1
F (0.139, 0.010, 0.692) x1
F (0.364, 0.914, 0.999) x1
F (0.721, 0.293, 0.000) x1
F (0.833, 0.010, 0.308) x1

***

| no. | electronic total energy (eV per atom) |
| --- | --- |
| 1 | -5.5007 |
| 2 | -4.2779 |